No. 1
Computed, not measured: a relaxed structure of TiPd at the PBE level of DFT.

Summary:
Calculated formation energy   0.6214 eV per atom
Crystal system   cubic
V   486.6 Å³ per cell
Total moment   0.000 Bohr magnetons per cell

Cell: 7.8657 7.8657 7.8657 Å, 90.00 90.00 90.00°
Last column: nearest neighbours and their distance in Å.
Element x y z (fractional)
Pd1 0.3215 0.6785 0.6785  4 Ti 2.50-2.56
Pd2 0.8215 0.1785 0.1785  4 Ti 2.50-2.56
Pd3 0.6785 0.3215 0.6785  4 Ti 2.50-2.56
Pd4 0.6785 0.6785 0.3215  4 Ti 2.50-2.56
Pd5 0.1785 0.8215 0.1785  4 Ti 2.50-2.56
Pd6 0.1785 0.1785 0.8215  4 Ti 2.50-2.56
Pd7 0.8215 0.8215 0.8215  4 Ti 2.50-2.56
Pd8 0.3215 0.3215 0.3215  4 Ti 2.50-2.56
Ti1 0.3665 0.6335 0.3665  4 Pd 2.50-2.56
Ti2 0.6335 0.3665 0.3665  4 Pd 2.50-2.56
Ti3 0.8665 0.8665 0.1335  4 Pd 2.50-2.56
Ti4 0.1335 0.8665 0.8665  4 Pd 2.50-2.56
Ti5 0.8665 0.1335 0.8665  4 Pd 2.50-2.56
Ti6 0.1335 0.1335 0.1335  4 Pd 2.50-2.56
Ti7 0.6335 0.6335 0.6335  4 Pd 2.50-2.56
Ti8 0.3665 0.3665 0.6335  4 Pd 2.50-2.56

---

No. 2
Computed, not measured: a relaxed structure of TiPd at the PBE level of DFT.

Summary:
Calculated formation energy   -0.4948 eV per atom
Crystal system   monoclinic
V   63.4 Å³ per cell
Total moment   0.001 Bohr magnetons per cell

Cell: 2.8727 4.8528 4.8426 Å, 100.20 107.25 90.00°
Last column: nearest neighbours and their distance in Å.
Element x y z (fractional)
Pd1 0.3756 0.1566 0.7513  7 Ti 2.64-2.86, 4 Pd 2.87-2.91
Pd2 0.6244 0.8434 0.2487  7 Ti 2.64-2.86, 4 Pd 2.87-2.91
Ti1 0.8773 0.6659 0.7546  7 Pd 2.64-2.86, 2 Ti 2.87
Ti2 0.1227 0.3341 0.2454  7 Pd 2.64-2.86, 2 Ti 2.87

---

No. 3
Computed, not measured: a relaxed structure of Ti4Pd at the PBE level of DFT.

Summary:
Calculated formation energy   0.6810 eV per atom
Crystal system   cubic
V   107.7 Å³ per cell
Total moment   3.359 Bohr magnetons per cell

Cell: 4.7578 4.7578 4.7578 Å, 90.00 90.00 90.00°
Last column: nearest neighbours and their distance in Å.
Element x y z (fractional)
Ti1 0.5000 0.5000 0.0000  2 Pd 2.38
Ti2 0.0000 0.5000 0.5000  2 Pd 2.38
Ti3 0.0000 0.0000 0.0000  12 Ti 3.36
Ti4 0.5000 0.0000 0.5000  2 Pd 2.38
Pd1 0.5000 0.5000 0.5000  6 Ti 2.38

---

No. 4
Computed, not measured: a relaxed structure of Ti4Pd at the PBE level of DFT.

Summary:
Calculated formation energy   -0.1107 eV per atom
Crystal system   orthorhombic
V   163.8 Å³ per cell
Total moment   0.001 Bohr magnetons per cell

Cell: 4.5366 5.3805 7.5776 Å, 110.80 107.42 90.00°
Last column: nearest neighbours and their distance in Å.
Element x y z (fractional)
Ti1 0.3032 0.3067 0.6064  5 Ti 2.64-2.73, 3 Pd 2.89-2.92
Ti2 0.5000 0.0000 0.0000  8 Ti 2.64-2.92
Ti3 0.0939 0.3439 0.1879  3 Pd 2.70-2.75, 8 Ti 2.92-2.97
Ti4 0.9061 0.6561 0.8121  3 Pd 2.70-2.75, 8 Ti 2.92-2.97
Ti5 0.6968 0.6933 0.3936  5 Ti 2.64-2.73, 3 Pd 2.89-2.92
Ti6 0.3032 0.7997 0.6064  5 Ti 2.64-2.73, 3 Pd 2.89-2.92
Ti7 0.6968 0.2003 0.3936  5 Ti 2.64-2.73, 3 Pd 2.89-2.92
Ti8 0.5000 0.5000 0.0000  8 Ti 2.64-2.92
Pd1 0.1112 0.8612 0.2225  9 Ti 2.70-2.92
Pd2 0.8888 0.1388 0.7775  9 Ti 2.70-2.92